# KTe6Pb5, relaxed, DFT GGA-PBE
# Formation energy (no corrections) = -0.4387 eV per atom
# Density of states at the Fermi level = 1.108 states/eV per atom
data_KTe6Pb5
_chemical_formula_sum 'K2 Te12 Pb10'
_cell_length_a 8.086
_cell_length_b 13.950
_cell_length_c 8.078
_cell_angle_alpha 90.00
_cell_angle_beta 109.34
_cell_angle_gamma 90.00
_symmetry_space_group_name_H-M 'C 1 2/m 1'
_symmetry_Int_Tables_number 12
loop_
_symmetry_equiv_pos_as_xyz
'x,y,z'
'-x,-y,-z'
'-x,y,-z'
'x,-y,z'
'x+1/2,y+1/2,z'
'-x+1/2,-y+1/2,-z'
'-x+1/2,y+1/2,-z'
'x+1/2,-y+1/2,z'
loop_
_atom_site_label
_atom_site_fract_x
_atom_site_fract_y
_atom_site_fract_z
_atom_site_occupancy
K1 0.000 0.000 0.000 1
Te1 0.235 0.500 0.251 1
Te2 0.239 0.326 0.741 1
Pb1 0.000 0.166 0.500 1
Pb2 0.000 0.334 0.000 1
Pb3 0.000 0.500 0.500 1